Record 1
NbZnOsPd2 | PBE | relaxed

Computed properties:
- size of the total moment (Bohr magnetons per cell) = 0.00
- formation enthalpy at 0 K (meV/atom) = 1310
- space group = No. 123

a = 4.8617 Å, b = 4.7118 Å, c = 4.8617 Å
α = 90.00°, β = 90.00°, γ = 90.00°
Positions (direct):
Nb1 0.0000 0.0000 0.0000
Os1 0.0000 0.5000 0.0000
Zn1 0.5000 0.5000 0.5000
Pd1 0.0000 0.0000 0.5000
Pd2 0.5000 0.0000 0.0000

Record 2
Nb2ZnOsPd | PBE | relaxed

Computed properties:
- size of the total moment (Bohr magnetons per cell) = 0.00
- formation enthalpy at 0 K (meV/atom) = 1302
- space group = No. 123

a = 4.6261 Å, b = 4.3807 Å, c = 4.6261 Å
α = 90.00°, β = 90.00°, γ = 90.00°
Positions (direct):
Nb1 0.0000 0.0000 0.5000
Nb2 0.5000 0.0000 0.0000
Os1 0.5000 0.5000 0.5000
Zn1 0.0000 0.0000 0.0000
Pd1 0.0000 0.5000 0.0000

Record 3
PmNb2Os2 | PBE | relaxed

Computed properties:
- size of the total moment (Bohr magnetons per cell) = 0.00
- formation enthalpy at 0 K (meV/atom) = -236
- space group = No. 139

a = 4.4249 Å, b = 4.4249 Å, c = 6.1978 Å
α = 110.91°, β = 110.91°, γ = 90.00°
Positions (direct):
Pm1 0.0000 0.0000 0.0000
Nb1 0.7500 0.2500 0.5000
Nb2 0.2500 0.7500 0.5000
Os1 0.6192 0.6192 0.2384
Os2 0.3808 0.3808 0.7615

Record 4
PmNbOs2W | PBE | relaxed

Computed properties:
- size of the total moment (Bohr magnetons per cell) = 0.00
- formation enthalpy at 0 K (meV/atom) = -147
- space group = No. 119

a = 4.3930 Å, b = 4.3930 Å, c = 6.1425 Å
α = 110.95°, β = 110.95°, γ = 90.00°
Positions (direct):
Pm1 0.0000 0.0000 0.0000
Nb1 0.7500 0.2500 0.5000
Os1 0.6222 0.6222 0.2445
Os2 0.3778 0.3778 0.7555
W1 0.2500 0.7500 0.5000

Record 5
Pr2NbOs | PBE | relaxed

Computed properties:
- size of the total moment (Bohr magnetons per cell) = 0.84
- formation enthalpy at 0 K (meV/atom) = 864
- space group = No. 166

a = 3.2567 Å, b = 3.2567 Å, c = 10.7915 Å
α = 81.32°, β = 81.32°, γ = 60.00°
Each line ends with the local moment (μB).
Positions (direct):
Pr1 0.0958 0.0958 0.7127  0.03
Pr2 0.9042 0.9042 0.2873  0.03
Nb1 0.0000 0.0000 0.0000  0.59
Os1 0.5000 0.5000 0.5000  0.04

Record 6
Nb2Os2Pt | PBE | relaxed

Computed properties:
- size of the total moment (Bohr magnetons per cell) = 0.00
- formation enthalpy at 0 K (meV/atom) = -102
- space group = No. 127

a = 7.3943 Å, b = 7.3943 Å, c = 3.0710 Å
α = 90.00°, β = 90.00°, γ = 90.00°
Positions (direct):
Nb1 0.1636 0.6636 0.5000
Nb2 0.6636 0.8364 0.5000
Nb3 0.8364 0.3364 0.5000
Nb4 0.3364 0.1636 0.5000
Os1 0.3647 0.8647 0.0000
Os2 0.8647 0.6353 0.0000
Os3 0.6353 0.1353 0.0000
Os4 0.1353 0.3647 0.0000
Pt1 0.0000 0.0000 0.0000
Pt2 0.5000 0.5000 0.0000

Record 7
Nb2OsPt | PBE | relaxed

Computed properties:
- size of the total moment (Bohr magnetons per cell) = 0.00
- formation enthalpy at 0 K (meV/atom) = -388
- space group = No. 123

a = 2.8889 Å, b = 2.8889 Å, c = 7.8808 Å
α = 90.00°, β = 90.00°, γ = 90.00°
Positions (direct):
Nb1 0.0000 0.0000 0.7618
Nb2 0.0000 0.0000 0.2382
Os1 0.5000 0.5000 0.0000
Pt1 0.5000 0.5000 0.5000

Record 8
Nb3Os2Pt2 | PBE | relaxed

Computed properties:
- size of the total moment (Bohr magnetons per cell) = 0.00
- formation enthalpy at 0 K (meV/atom) = -278
- space group = No. 65

a = 4.2134 Å, b = 2.8080 Å, c = 9.9032 Å
α = 90.00°, β = 77.72°, γ = 90.00°
Positions (direct):
Nb1 0.8464 0.0000 0.3071
Nb2 0.0000 0.0000 0.0000
Nb3 0.1536 0.0000 0.6929
Os1 0.7134 0.5000 0.5732
Os2 0.2866 0.5000 0.4268
Pt1 0.5724 0.5000 0.8552
Pt2 0.4276 0.5000 0.1448

Record 9
Nb14OsPt | PBE | relaxed

Computed properties:
- size of the total moment (Bohr magnetons per cell) = 0.00
- formation enthalpy at 0 K (meV/atom) = -165
- space group = No. 65

a = 5.7173 Å, b = 5.7173 Å, c = 9.2047 Å
α = 90.00°, β = 90.00°, γ = 109.37°
Positions (direct):
Nb1 0.1251 0.8749 0.0000
Nb2 0.6251 0.3749 0.0000
Nb3 0.1250 0.3751 0.5000
Nb4 0.1250 0.3750 0.0000
Nb5 0.6249 0.8750 0.5000
Nb6 0.6250 0.8750 0.0000
Nb7 0.3690 0.1190 0.7436
Nb8 0.3690 0.1190 0.2564
Nb9 0.8810 0.6310 0.7436
Nb10 0.8810 0.6310 0.2564
Nb11 0.3762 0.6238 0.7452
Nb12 0.3762 0.6238 0.2548
Nb13 0.8738 0.1262 0.7452
Nb14 0.8738 0.1262 0.2548
Os1 0.1249 0.8751 0.5000
Pt1 0.6250 0.3750 0.5000

Record 10
Nb2OsPt | PBE | relaxed

Computed properties:
- size of the total moment (Bohr magnetons per cell) = 0.00
- formation enthalpy at 0 K (meV/atom) = 194
- space group = No. 122

a = 7.1966 Å, b = 7.1966 Å, c = 5.7971 Å
α = 51.63°, β = 51.63°, γ = 90.00°
Positions (direct):
Nb1 0.6105 0.1250 0.2500
Nb2 0.1395 0.6250 0.2500
Nb3 0.3750 0.3895 0.7500
Nb4 0.8750 0.8605 0.7500
Os1 0.5000 0.5000 0.0000
Os2 0.2500 0.7500 0.5000
Pt1 0.0000 0.0000 0.0000
Pt2 0.7500 0.2500 0.5000

Record 11
NbOsPt | PBE | relaxed

Computed properties:
- size of the total moment (Bohr magnetons per cell) = 0.00
- formation enthalpy at 0 K (meV/atom) = -346
- space group = No. 63
- offset from the most stable computed form (meV per atom) = 0

a = 4.0089 Å, b = 3.9968 Å, c = 6.3113 Å
α = 90.00°, β = 108.52°, γ = 90.00°
Positions (direct):
Nb1 0.9019 0.7500 0.8038
Nb2 0.0981 0.2500 0.1962
Os1 0.7522 0.2500 0.5044
Os2 0.2478 0.7500 0.4956
Pt1 0.4187 0.2500 0.8374
Pt2 0.5813 0.7500 0.1626

Record 12
NbOs3Pt | PBE | relaxed

Computed properties:
- size of the total moment (Bohr magnetons per cell) = 0.00
- formation enthalpy at 0 K (meV/atom) = 2427
- space group = No. 221
- offset from the most stable computed form (meV per atom) = 12

a = 4.6878 Å, b = 4.6878 Å, c = 4.6878 Å
α = 90.00°, β = 90.00°, γ = 90.00°
Positions (direct):
Nb1 0.5000 0.5000 0.5000
Os1 0.0000 0.5000 0.0000
Os2 0.0000 0.0000 0.5000
Os3 0.5000 0.0000 0.0000
Pt1 0.0000 0.0000 0.0000

Record 13
Nb2OsPt2 | PBE | relaxed

Computed properties:
- size of the total moment (Bohr magnetons per cell) = 0.00
- formation enthalpy at 0 K (meV/atom) = -198
- space group = No. 127
- offset from the most stable computed form (meV per atom) = 137

a = 7.1497 Å, b = 7.1497 Å, c = 3.3190 Å
α = 90.00°, β = 90.00°, γ = 90.00°
Positions (direct):
Nb1 0.1759 0.6759 0.5000
Nb2 0.6759 0.8241 0.5000
Nb3 0.8241 0.3241 0.5000
Nb4 0.3241 0.1759 0.5000
Os1 0.0000 0.0000 0.0000
Os2 0.5000 0.5000 0.0000
Pt1 0.3706 0.8706 0.0000
Pt2 0.8706 0.6294 0.0000
Pt3 0.6294 0.1294 0.0000
Pt4 0.1294 0.3706 0.0000